# 1
PrNd2Dy5Y: relaxed, GGA-PBE. Values from VASP.

Quantum ESPRESSO input file:
```
&SYSTEM
  ibrav = 0, nat = 18, ntyp = 4
/
ATOMIC_SPECIES
Dy 162.50 Dy.upf
Nd 144.24 Nd.upf
Pr 140.91 Pr.upf
Y 88.91 Y.upf
ATOMIC_POSITIONS crystal
Dy 0.927 0.427 0.275
Dy 0.073 0.573 0.725
Dy 0.848 0.927 0.275
Dy 0.652 0.152 0.725
Dy 0.427 0.348 0.275
Dy 0.573 0.652 0.725
Dy 0.348 0.848 0.275
Dy 0.500 0.500 0.000
Dy 0.000 0.000 0.000
Dy 0.152 0.073 0.725
Nd 0.617 0.117 0.000
Nd 0.883 0.617 0.000
Nd 0.383 0.883 0.000
Nd 0.117 0.383 0.000
Pr 0.750 0.750 0.500
Pr 0.250 0.250 0.500
Y 0.250 0.750 0.500
Y 0.750 0.250 0.500
CELL_PARAMETERS angstrom
8.775 0.000 0.000
0.000 8.775 0.000
-4.388 -4.388 7.780
```

raw total energy = -82.89 eV/cell
calculated volume = 33.3 Å³ per atom
calculated formation energy = 0.261 eV/atom


# 2
Sc2Sb2Cl: relaxed, GGA-PBE. Values from VASP.

Quantum ESPRESSO input file:
```
&SYSTEM
  ibrav = 0, nat = 10, ntyp = 3
/
ATOMIC_SPECIES
Sb 121.76 Sb.upf
Sc 44.96 Sc.upf
Cl 35.45 Cl.upf
ATOMIC_POSITIONS crystal
Sb 0.137 0.637 0.500
Sb 0.363 0.137 0.500
Sb 0.637 0.863 0.500
Sb 0.863 0.363 0.500
Sc 0.667 0.167 0.000
Sc 0.333 0.833 0.000
Sc 0.833 0.667 0.000
Sc 0.167 0.333 0.000
Cl 0.000 0.000 0.000
Cl 0.500 0.500 0.000
CELL_PARAMETERS angstrom
7.512 0.000 0.000
0.000 7.512 0.000
0.000 0.000 4.170
```

raw total energy = -54.87 eV/cell
energy relative to the elements, uncorrected = -936 meV/atom
energy above the lowest structure with this stoichiometry = 0.000 kcal/mol of atoms
calculated volume = 23.5 Å³ per atom


# 3
Sr2MgCu16: relaxed, GGA-PBE. Values from VASP.

Quantum ESPRESSO input file:
```
&SYSTEM
  ibrav = 0, nat = 19, ntyp = 3
/
ATOMIC_SPECIES
Cu 63.55 Cu.upf
Mg 24.30 Mg.upf
Sr 87.62 Sr.upf
ATOMIC_POSITIONS crystal
Cu 0.496 0.001 0.001
Cu 0.001 0.001 0.496
Cu 0.001 0.292 0.709
Cu 0.850 0.338 0.338
Cu 0.709 0.001 0.292
Cu 0.152 0.659 0.659
Cu 0.001 0.496 0.001
Cu 0.659 0.152 0.659
Cu 0.709 0.292 0.001
Cu 0.292 0.709 0.001
Cu 0.103 0.103 0.103
Cu 0.338 0.850 0.338
Cu 0.338 0.338 0.850
Cu 0.292 0.001 0.709
Cu 0.659 0.659 0.152
Cu 0.001 0.709 0.292
Mg 0.908 0.908 0.908
Sr 0.343 0.343 0.343
Sr 0.650 0.650 0.650
CELL_PARAMETERS angstrom
-4.912 -0.702 4.377
3.747 -1.889 5.116
0.576 5.960 2.816
```

raw total energy = -71.60 eV/cell
calculated volume = 14.9 Å³ per atom
calculated formation energy = -0.058 eV/atom


# 4
Nd19Sm4Dy6: relaxed, GGA-PBE. Values from VASP.

Quantum ESPRESSO input file:
```
&SYSTEM
  ibrav = 0, nat = 29, ntyp = 3
/
ATOMIC_SPECIES
Nd 144.24 Nd.upf
Sm 150.36 Sm.upf
Dy 162.50 Dy.upf
ATOMIC_POSITIONS crystal
Nd 0.259 0.259 0.000
Nd 0.000 0.259 0.259
Nd 0.741 0.741 0.000
Nd 0.544 0.202 0.221
Nd 0.456 0.677 0.658
Nd 0.677 0.658 0.456
Nd 0.000 0.000 0.000
Nd 0.323 0.779 0.981
Nd 0.741 0.000 0.741
Nd 0.779 0.981 0.323
Nd 0.798 0.342 0.019
Nd 0.221 0.544 0.202
Nd 0.981 0.323 0.779
Nd 0.259 0.000 0.259
Nd 0.658 0.456 0.677
Nd 0.000 0.741 0.741
Nd 0.019 0.798 0.342
Nd 0.342 0.019 0.798
Nd 0.202 0.221 0.544
Sm 0.636 0.000 0.000
Sm 0.000 0.636 0.000
Sm 0.000 0.000 0.636
Sm 0.364 0.364 0.364
Dy 0.124 0.624 0.500
Dy 0.876 0.376 0.500
Dy 0.624 0.500 0.124
Dy 0.376 0.500 0.876
Dy 0.500 0.124 0.624
Dy 0.500 0.876 0.376
CELL_PARAMETERS angstrom
10.392 0.000 -3.674
-5.196 9.000 -3.674
0.000 0.000 11.023
```

raw total energy = -126.65 eV/cell
calculated volume = 35.6 Å³ per atom
calculated formation energy = 0.359 eV/atom


Question: Look up the calculated volume of the second one.
Answer: 23.5 Å³ per atom


Question: Which of these has the lowest raw total energy?
Answer: Nd19Sm4Dy6


Question: Which formula does entry 4 have?
Answer: Nd19Sm4Dy6